Record 1
# Ba2YW | Alexandria | PBE | relaxed
# Mass density   6.18 g cm⁻³
# DFT total energy   -4.93 eV/atom
# Calculated formation energy   890 meV/atom
# E above lowest polymorph   144 meV per atom
data_Ba2YW
_space_group_name_H-M_alt 'C 1 m 1'
_space_group_IT_number 8
_cell_length_a 9.903
_cell_length_b 3.429
_cell_length_c 8.675
_cell_angle_alpha 90.00
_cell_angle_beta 93.81
_cell_angle_gamma 90.00
loop_
_space_group_symop_operation_xyz
'x,y,z'
'x,-y,z'
'x+1/2,y+1/2,z'
'x+1/2,-y+1/2,z'
loop_
_atom_site_label
_atom_site_type_symbol
_atom_site_fract_x
_atom_site_fract_y
_atom_site_fract_z
Ba1 Ba 0.000 0.000 0.000
Ba2 Ba 0.233 0.000 0.626
Y1 Y 0.259 0.500 0.264
W1 W 0.495 0.000 0.363

***

Record 2
# LiPdCl2 | Alexandria | PBE | relaxed
# Mass density   3.86 g cm⁻³
# DFT total energy   -3.55 eV/atom
# E above lowest polymorph   0 meV per atom
# Uncorrected formation energy   -847 meV/atom
data_LiPdCl2
_space_group_name_H-M_alt 'R -3 m'
_space_group_IT_number 166
_space_group_name_Hall '-R 3 2"'
_cell_length_a 3.5111
_cell_length_b 3.5111
_cell_length_c 22.2549
_cell_angle_alpha 90.00
_cell_angle_beta 90.00
_cell_angle_gamma 120.00
loop_
_atom_site_label
_atom_site_type_symbol
_atom_site_fract_x
_atom_site_fract_y
_atom_site_fract_z
Li1 Li 0.0000 0.0000 0.0000
Pd1 Pd 0.0000 0.0000 0.5000
Cl1 Cl 0.0000 0.0000 0.3967